# 1
10
Lattice="-6.4681 1.9718 3.5335 -0.8775 -7.1874 2.4045 1.7082 0.7058 2.7331" Properties=species:S:1:pos:R:3 comment="Ga2AgGe2 PBE optimized geometry" delta_e_f_ev_per_atom=0.22 relative_energy_kj_per_mol_fu=22 pbc="T T T"
Ge -1.4800 -0.1356 2.9516
Ge -4.8703 -0.4295 5.1465
Ge -4.1573 -4.3743 5.7195
Ge -0.7670 -4.0804 3.5246
Ag -3.6728 -2.6078 2.9690
Ag 0.0000 0.0000 0.0000
Ga -1.2232 -2.3085 1.3607
Ga -6.1224 -2.9071 4.5774
Ga -4.2648 0.2541 2.6000
Ga -3.0808 -5.4697 3.3381

---

# 2
7
Lattice="3.6104 0.0000 0.0000 -1.8052 3.1252 -0.1046 0.0000 0.6869 20.4996" Properties=species:S:1:pos:R:3 comment="Pm4Er2Th PBE optimized geometry" delta_e_f_ev_per_atom=0.04 relative_energy_kj_per_mol_fu=0 pbc="T T T"
Er 1.8052 1.6058 7.7313
Er 1.8052 1.4110 1.9369
Th 1.8052 1.7913 13.5919
Pm 0.0000 2.7399 10.6176
Pm 0.0000 2.9318 16.5287
Pm 0.0000 0.4682 4.8611
Pm 0.0000 0.9560 19.6108

---

# 3
5
Lattice="-3.1166 3.9630 -4.3509 -5.4866 -0.1754 3.7704 2.1291 5.3491 3.3471" Properties=species:S:1:pos:R:3 comment="Rb3BeTl PBE optimized geometry" delta_e_f_ev_per_atom=0.61 relative_energy_kj_per_mol_fu=0 pbc="T T T"
Rb -2.7433 -0.0877 1.8852
Rb 1.0646 2.6746 1.6735
Rb -1.5583 1.9815 -2.1754
Tl -3.2370 4.5684 1.3833
Be 0.0000 0.0000 0.0000

---

# 4
4
Lattice="3.1629 0.0000 0.0000 0.0000 3.1629 0.0000 0.0000 0.0000 6.0247" Properties=species:S:1:pos:R:3 comment="LiHgRu2 PBE optimized geometry" delta_e_f_ev_per_atom=0.54 pbc="T T T"
Li 1.5814 1.5814 4.5185
Ru 0.0000 0.0000 5.7049
Ru 0.0000 0.0000 3.3321
Hg 1.5814 1.5814 1.5062

---

# 5
30
Lattice="7.1615 0.0000 0.0000 0.0000 7.1615 0.0000 0.0000 0.0000 17.3055" Properties=species:S:1:pos:R:3 comment="Ba2AgHg12 PBE optimized geometry" delta_e_f_ev_per_atom=-0.21 pbc="T T T"
Hg 0.0000 0.0000 14.1435
Hg 3.5807 3.5807 6.1041
Hg 4.6989 1.1182 7.4571
Hg 3.5807 3.5807 14.1435
Hg 5.3748 1.7941 15.8090
Hg 5.3674 1.7866 1.4965
Hg 1.7866 1.7941 1.4965
Hg 1.1182 4.6989 9.8484
Hg 1.7866 5.3674 15.8090
Hg 0.0000 0.0000 11.2014
Hg 5.3674 5.3748 15.8090
Hg 5.3748 5.3674 1.4965
Hg 4.6989 6.0432 9.8484
Hg 1.7941 1.7866 15.8090
Hg 2.4625 1.1182 9.8484
Hg 6.0432 2.4625 9.8484
Hg 3.5807 3.5807 3.1620
Hg 1.1182 2.4625 7.4571
Hg 1.7941 5.3748 1.4965
Hg 2.4625 6.0432 7.4571
Hg 0.0000 0.0000 6.1041
Hg 0.0000 0.0000 3.1620
Hg 6.0432 4.6989 7.4571
Hg 3.5807 3.5807 11.2014
Ba 3.5807 0.0000 13.1731
Ba 3.5807 0.0000 4.1324
Ba 0.0000 3.5807 13.1731
Ba 0.0000 3.5807 4.1324
Ag 0.0000 3.5807 0.0000
Ag 3.5807 0.0000 0.0000

---

# 6
3
Lattice="4.4077 0.0000 0.0000 2.2039 3.8172 0.0000 2.2039 1.2724 3.5989" Properties=species:S:1:pos:R:3 comment="MnAlSe PBE optimized geometry" raw_formation_energy_mev_per_atom=316 relative_energy_kj_per_mol_fu=119 pbc="T T T"
Mn 4.4077 2.5448 1.7994
Se 6.6116 3.8172 2.6992
Al 0.0000 0.0000 0.0000

---

# 7
4
Lattice="3.3885 0.0000 0.0000 0.0000 3.3885 0.0000 0.0000 0.0000 7.6607" Properties=species:S:1:pos:R:3 comment="MgTcSb2 PBE optimized geometry" raw_formation_energy_mev_per_atom=61 relative_energy_kj_per_mol_fu=27 pbc="T T T"
Sb 0.0000 0.0000 7.2057
Sb 1.6943 1.6943 2.5763
Tc 0.0000 0.0000 3.9455
Mg 1.6943 1.6943 5.4242

---

# 8
14
Lattice="4.7508 0.0000 0.7156 2.3360 5.9702 0.6189 0.1668 0.2055 15.0193" Properties=species:S:1:pos:R:3 comment="Pr3TlIn3 PBE optimized geometry" delta_e_f_ev_per_atom=-0.42 pbc="T T T"
Pr 3.8956 3.9910 6.3924
Pr 1.8742 1.4245 3.6852
Pr 5.3795 4.7512 12.6687
Pr 2.6839 1.9381 14.4365
Pr 3.3580 2.1847 9.9614
Pr 4.5697 4.2376 1.9174
In 4.5736 0.8743 1.8916
In 2.6800 5.3014 14.4623
In 1.3516 1.7345 7.1541
In 5.9020 4.4412 9.1997
In 5.3956 1.5046 12.5616
In 1.8580 4.6711 3.7922
Tl 3.3406 5.6488 10.0767
Tl 3.9130 0.5269 6.2771